NaSrFeNi2 | PBE-GGA | relaxed

Computed properties:
* magnetic moment: 2.8 μB/cell
* formation enthalpy at 0 K: 8.300 eV/f.u.
* DFT total energy: -2.945 eV per atom

a = 5.0492 Å, b = 5.2680 Å, c = 5.0492 Å
α = 90.00°, β = 90.00°, γ = 90.00°
Last column: nearest neighbours and their distance in Å.
Fractional positions:
Ni1 0.5000 0.0000 0.0000  2 Sr 2.52
Ni2 0.0000 0.0000 0.5000  2 Sr 2.52
Fe1 0.0000 0.5000 0.0000  2 Sr 2.63
Na1 0.5000 0.5000 0.5000  4 Fe 3.57, 8 Ni 3.65
Sr1 0.0000 0.0000 0.0000  4 Ni 2.52, 2 Fe 2.63